Record 1
# PBE-GGA PaSnAsO, relaxed
data_PaSnAsO
_cell_length_a 4.041
_cell_length_b 4.041
_cell_length_c 10.452
_cell_angle_alpha 90.00
_cell_angle_beta 90.00
_cell_angle_gamma 90.00
_symmetry_space_group_name_H-M 'P 4/n m m'
_symmetry_Int_Tables_number 129
loop_
_symmetry_equiv_pos_as_xyz
'x,y,z'
'-x,-y,-z'
'-y+1/2,x,z'
'y+1/2,-x,-z'
'-x+1/2,-y+1/2,z'
'x+1/2,y+1/2,-z'
'y,-x+1/2,z'
'-y,x+1/2,-z'
'x+1/2,-y,-z'
'-x+1/2,y,z'
'-y,-x,-z'
'y,x,z'
'-x,y+1/2,-z'
'x,-y+1/2,z'
'y+1/2,x+1/2,-z'
'-y+1/2,-x+1/2,z'
loop_
_atom_site_label
_atom_site_type_symbol
_atom_site_fract_x
_atom_site_fract_y
_atom_site_fract_z
Pa1 Pa 0.250 0.250 0.126
Sn1 Sn 0.250 0.750 0.500
As1 As 0.250 0.250 0.745
O1 O 0.250 0.750 0.000
# - V (Å³ per cell) = 170.7
# - energy above the most stable polymorph in this dataset (eV/atom) = 0.000

***

Record 2
# PBE-GGA PaSnAsO, relaxed
data_PaSnAsO
_cell_length_a 4.443
_cell_length_b 4.443
_cell_length_c 8.181
_cell_angle_alpha 90.00
_cell_angle_beta 90.00
_cell_angle_gamma 90.00
_symmetry_space_group_name_H-M 'P 4/n m m'
_symmetry_Int_Tables_number 129
loop_
_symmetry_equiv_pos_as_xyz
'x,y,z'
'-x,-y,-z'
'-y+1/2,x,z'
'y+1/2,-x,-z'
'-x+1/2,-y+1/2,z'
'x+1/2,y+1/2,-z'
'y,-x+1/2,z'
'-y,x+1/2,-z'
'x+1/2,-y,-z'
'-x+1/2,y,z'
'-y,-x,-z'
'y,x,z'
'-x,y+1/2,-z'
'x,-y+1/2,z'
'y+1/2,x+1/2,-z'
'-y+1/2,-x+1/2,z'
loop_
_atom_site_label
_atom_site_type_symbol
_atom_site_fract_x
_atom_site_fract_y
_atom_site_fract_z
Pa1 Pa 0.250 0.750 0.000
Sn1 Sn 0.250 0.250 0.398
As1 As 0.250 0.250 0.772
O1 O 0.250 0.750 0.500
# - V (Å³ per cell) = 161.5
# - energy above the most stable polymorph in this dataset (eV/atom) = 0.952

***

Record 3
# PBE-GGA PaSnAsO, relaxed
data_PaSnAsO
_cell_length_a 4.067
_cell_length_b 4.067
_cell_length_c 10.279
_cell_angle_alpha 90.00
_cell_angle_beta 90.00
_cell_angle_gamma 90.00
_symmetry_space_group_name_H-M 'P 4/n m m'
_symmetry_Int_Tables_number 129
loop_
_symmetry_equiv_pos_as_xyz
'x,y,z'
'-x,-y,-z'
'-y+1/2,x,z'
'y+1/2,-x,-z'
'-x+1/2,-y+1/2,z'
'x+1/2,y+1/2,-z'
'y,-x+1/2,z'
'-y,x+1/2,-z'
'x+1/2,-y,-z'
'-x+1/2,y,z'
'-y,-x,-z'
'y,x,z'
'-x,y+1/2,-z'
'x,-y+1/2,z'
'y+1/2,x+1/2,-z'
'-y+1/2,-x+1/2,z'
loop_
_atom_site_label
_atom_site_type_symbol
_atom_site_fract_x
_atom_site_fract_y
_atom_site_fract_z
Pa1 Pa 0.250 0.250 0.125
Sn1 Sn 0.250 0.750 0.500
As1 As 0.250 0.250 0.745
O1 O 0.250 0.750 0.000
# - V (Å³ per cell) = 170.0
# - energy above the most stable polymorph in this dataset (eV/atom) = 0.004

***

Record 4
# PBE-GGA PaTaAsO, relaxed
data_PaTaAsO
_cell_length_a 4.147
_cell_length_b 4.147
_cell_length_c 7.897
_cell_angle_alpha 90.00
_cell_angle_beta 90.00
_cell_angle_gamma 90.00
_symmetry_space_group_name_H-M 'P 4/n m m'
_symmetry_Int_Tables_number 129
loop_
_symmetry_equiv_pos_as_xyz
'x,y,z'
'-x,-y,-z'
'-y+1/2,x,z'
'y+1/2,-x,-z'
'-x+1/2,-y+1/2,z'
'x+1/2,y+1/2,-z'
'y,-x+1/2,z'
'-y,x+1/2,-z'
'x+1/2,-y,-z'
'-x+1/2,y,z'
'-y,-x,-z'
'y,x,z'
'-x,y+1/2,-z'
'x,-y+1/2,z'
'y+1/2,x+1/2,-z'
'-y+1/2,-x+1/2,z'
loop_
_atom_site_label
_atom_site_type_symbol
_atom_site_fract_x
_atom_site_fract_y
_atom_site_fract_z
Pa1 Pa 0.250 0.750 0.000
Ta1 Ta 0.250 0.250 0.390
As1 As 0.250 0.250 0.734
O1 O 0.250 0.750 0.500
# - V (Å³ per cell) = 135.8
# - energy above the most stable polymorph in this dataset (eV/atom) = 1.572

***

Question: Which of these has the lowest V?
Answer: PaTaAsO